VASP calculation (PBE) on Dy2ScAl after structural relaxation.

Geometry as CIF:
```
data_Dy2ScAl
_space_group_name_H-M_alt 'P 1'
_space_group_IT_number 1
_cell_length_a 4.684
_cell_length_b 4.684
_cell_length_c 4.585
_cell_angle_alpha 90.00
_cell_angle_beta 90.00
_cell_angle_gamma 90.00
loop_
_space_group_symop_operation_xyz
'x,y,z'
loop_
_atom_site_label
_atom_site_fract_x
_atom_site_fract_y
_atom_site_fract_z
_atom_site_occupancy
Dy1 0.000 0.500 0.000 1
Dy2 0.500 0.000 0.000 1
Sc1 0.000 0.000 0.500 1
Al1 0.500 0.500 0.500 1
```

E above lowest polymorph: 12 meV per atom
theoretical density: 6.55 g/cm3
formation energy from the elements: -0.196 eV/atom
SG: No. 123